No. 1
Ce2RuPt, optimized geometry, DFT GGA-PBE; SG = P4/mmm (123)
1.0
3.4733 0.0000 0.0000
0.0000 3.4733 0.0000
0.0000 0.0000 7.1496
Ce Ru Pt
2 1 1
Cartesian
0.0000 0.0000 1.7138 Ce
0.0000 0.0000 5.4358 Ce
1.7367 1.7367 0.0000 Ru
1.7367 1.7367 3.5748 Pt

No. 2
Ce6Ru3Pt, optimized geometry, DFT GGA-PBE; SG = Cmc2_1 (36)
1.0
5.1405 -7.5158 0.0000
5.1405 7.5158 0.0000
0.0000 0.0000 6.3936
Ce Ru Pt
12 6 2
Cartesian
5.1405 6.9644 3.1968 Ce
3.2923 2.9466 5.8161 Ce
5.1405 3.7837 2.2826 Ce
3.2226 0.8553 2.4423 Ce
3.2226 -0.8553 5.6390 Ce
6.9887 2.9466 5.8161 Ce
3.2923 -2.9466 2.6193 Ce
7.0584 0.8553 2.4423 Ce
7.0584 -0.8553 5.6390 Ce
5.1405 -3.7837 5.4794 Ce
6.9887 -2.9466 2.6193 Ce
5.1405 -6.9644 0.0000 Ce
1.6060 1.5433 4.2148 Ru
1.6060 -1.5433 1.0180 Ru
5.1405 1.1867 0.5925 Ru
5.1405 -1.1867 3.7893 Ru
8.6751 1.5433 4.2148 Ru
8.6751 -1.5433 1.0180 Ru
5.1405 5.0221 5.2236 Pt
5.1405 -5.0221 2.0268 Pt

No. 3
Ce8RuPt2, optimized geometry, DFT GGA-PBE; energy relative to the lowest polymorph listed for this composition = 33.9 meV/atom; SG = Cm (8)
1.0
3.9561 -7.0531 0.0000
3.9561 7.0531 0.0000
-3.3650 0.0000 4.7622
Ce Ru Pt
8 1 2
Cartesian
0.0000 0.0000 0.0000 Ce
2.2221 2.9610 0.7870 Ce
2.7214 5.3341 2.3126 Ce
1.4686 1.4782 3.1732 Ce
2.2221 -2.9610 0.7870 Ce
1.4686 -1.4782 3.1732 Ce
4.5135 0.0000 1.6845 Ce
2.7214 -5.3341 2.3126 Ce
2.5522 0.0000 0.2158 Ru
0.2646 4.2441 3.3667 Pt
0.2646 -4.2441 3.3667 Pt

No. 4
Ce3Ru2Pt, optimized geometry, DFT GGA-PBE; SG = Pmmn (59)
1.0
4.9318 0.0000 0.0000
0.0000 15.2377 0.0000
0.0000 0.0000 3.3991
Ce Ru Pt
6 4 2
Cartesian
1.2329 1.2301 0.0179 Ce
1.2329 6.3887 0.0179 Ce
1.2329 11.4283 3.3468 Ce
3.6988 3.8094 0.0523 Ce
3.6988 8.8490 3.3812 Ce
3.6988 14.0076 3.3812 Ce
1.2329 8.7106 1.6963 Ru
1.2329 14.1460 1.6963 Ru
3.6988 1.0917 1.7028 Ru
3.6988 6.5272 1.7028 Ru
1.2329 3.8094 1.7552 Pt
3.6988 11.4283 1.6439 Pt

| no. | ΔH_f (0 K) (meV per atom) | total moment (μB/atom) |
| --- | --- | --- |
| 1 | -631 | 0.27 |
| 2 | -351 | 0.32 |
| 3 | -405 | 0.00 |
| 4 | -518 | 0.17 |